1.
Density functional theory data (PBE-GGA) for a relaxed La2PmAl crystal.

Geometry as CIF:
```
data_La2PmAl
_symmetry_space_group_name_H-M 'R 3 m'
_symmetry_Int_Tables_number 160
_symmetry_space_group_name_Hall 'R 3 -2"'
_cell_length_a 3.7381
_cell_length_b 3.7381
_cell_length_c 32.6788
_cell_angle_alpha 90.00
_cell_angle_beta 90.00
_cell_angle_gamma 120.00
loop_
_atom_site_label
_atom_site_fract_x
_atom_site_fract_y
_atom_site_fract_z
La1 0.0000 0.0000 0.0000
La2 0.0000 0.0000 0.1887
Pm1 0.0000 0.0000 0.4276
Al1 0.0000 0.0000 0.5942
```

Computed properties:
Offset from the most stable computed form = 176 meV per atom

=====

2.
Density functional theory data (PBE-GGA) for a relaxed La4PmAl4 crystal.

Geometry as CIF:
```
data_La4PmAl4
_symmetry_space_group_name_H-M 'P 42/n'
_symmetry_Int_Tables_number 86
_cell_length_a 9.025
_cell_length_b 9.025
_cell_length_c 6.178
_cell_angle_alpha 90.00
_cell_angle_beta 90.00
_cell_angle_gamma 90.00
loop_
_symmetry_equiv_pos_as_xyz
'x,y,z'
'-x,-y,-z'
'-y,x+1/2,z+1/2'
'y,-x+1/2,-z+1/2'
'-x+1/2,-y+1/2,z'
'x+1/2,y+1/2,-z'
'y+1/2,-x,z+1/2'
'-y+1/2,x,-z+1/2'
loop_
_atom_site_label
_atom_site_fract_x
_atom_site_fract_y
_atom_site_fract_z
La1 0.075 0.823 0.130
Pm1 0.250 0.250 0.750
Al1 0.066 0.164 0.348
```

=====

3.
Density functional theory data (PBE-GGA) for a relaxed LaPmAl crystal.

Geometry as CIF:
```
data_LaPmAl
_symmetry_space_group_name_H-M 'I 4 m m'
_symmetry_Int_Tables_number 107
_symmetry_space_group_name_Hall 'I 4 -2'
_cell_length_a 3.552
_cell_length_b 3.552
_cell_length_c 14.176
_cell_angle_alpha 90.00
_cell_angle_beta 90.00
_cell_angle_gamma 90.00
loop_
_atom_site_label
_atom_site_fract_x
_atom_site_fract_y
_atom_site_fract_z
La1 0.000 0.000 0.000
Pm1 0.000 0.000 0.288
Al1 0.000 0.000 0.649
```

Computed properties:
Offset from the most stable computed form = 0 meV per atom

=====

4.
Density functional theory data (PBE-GGA) for a relaxed La2PmAl6 crystal.

Geometry as CIF:
```
data_La2PmAl6
_symmetry_space_group_name_H-M 'P 6/m m m'
_symmetry_Int_Tables_number 191
_symmetry_space_group_name_Hall '-P 6 2'
_cell_length_a 7.9906
_cell_length_b 7.9906
_cell_length_c 3.8639
_cell_angle_alpha 90.00
_cell_angle_beta 90.00
_cell_angle_gamma 120.00
loop_
_atom_site_label
_atom_site_fract_x
_atom_site_fract_y
_atom_site_fract_z
La1 0.3333 0.6667 0.0000
Pm1 0.0000 0.0000 0.0000
Al1 0.0000 0.3316 0.5000
```

=====

5.
Density functional theory data (PBE-GGA) for a relaxed LaPm3Al4 crystal.

Geometry as CIF:
```
data_LaPm3Al4
_symmetry_space_group_name_H-M 'P 4/m m m'
_symmetry_Int_Tables_number 123
_symmetry_space_group_name_Hall '-P 4 2'
_cell_length_a 5.264
_cell_length_b 5.264
_cell_length_c 7.467
_cell_angle_alpha 90.00
_cell_angle_beta 90.00
_cell_angle_gamma 90.00
loop_
_atom_site_label
_atom_site_fract_x
_atom_site_fract_y
_atom_site_fract_z
La1 0.000 0.000 0.000
Pm1 0.000 0.000 0.500
Pm2 0.500 0.500 0.000
Pm3 0.500 0.500 0.500
Al1 0.000 0.500 0.256
```

=====

6.
Density functional theory data (PBE-GGA) for a relaxed LaPm5Al6 crystal.

Geometry as CIF:
```
data_LaPm5Al6
_symmetry_space_group_name_H-M 'C 1 2/m 1'
_symmetry_Int_Tables_number 12
_cell_length_a 16.614
_cell_length_b 7.429
_cell_length_c 5.258
_cell_angle_alpha 90.00
_cell_angle_beta 108.39
_cell_angle_gamma 90.00
loop_
_symmetry_equiv_pos_as_xyz
'x,y,z'
'-x,-y,-z'
'-x,y,-z'
'x,-y,z'
'x+1/2,y+1/2,z'
'-x+1/2,-y+1/2,-z'
'-x+1/2,y+1/2,-z'
'x+1/2,-y+1/2,z'
loop_
_atom_site_label
_atom_site_fract_x
_atom_site_fract_y
_atom_site_fract_z
La1 0.000 0.000 0.000
Pm1 0.000 0.500 0.000
Pm2 0.162 0.000 0.662
Pm3 0.169 0.500 0.670
Al1 0.000 0.264 0.500
Al2 0.169 0.257 0.169
```

=====

7.
Density functional theory data (PBE-GGA) for a relaxed LaPmAl crystal.

Geometry as CIF:
```
data_LaPmAl
_symmetry_space_group_name_H-M 'F -4 3 m'
_symmetry_Int_Tables_number 216
_symmetry_space_group_name_Hall 'F -4 2 3'
_cell_length_a 7.379
_cell_length_b 7.379
_cell_length_c 7.379
_cell_angle_alpha 90.00
_cell_angle_beta 90.00
_cell_angle_gamma 90.00
loop_
_atom_site_label
_atom_site_fract_x
_atom_site_fract_y
_atom_site_fract_z
La1 0.000 0.000 0.000
Pm1 0.000 0.000 0.500
Al1 0.250 0.250 0.250
```

Computed properties:
Offset from the most stable computed form = 154 meV per atom

=====

8.
Density functional theory data (PBE-GGA) for a relaxed La2Pm2Al crystal.

Geometry as CIF:
```
data_La2Pm2Al
_symmetry_space_group_name_H-M 'I 4/m m m'
_symmetry_Int_Tables_number 139
_symmetry_space_group_name_Hall '-I 4 2'
_cell_length_a 3.701
_cell_length_b 3.701
_cell_length_c 23.254
_cell_angle_alpha 90.00
_cell_angle_beta 90.00
_cell_angle_gamma 90.00
loop_
_atom_site_label
_atom_site_fract_x
_atom_site_fract_y
_atom_site_fract_z
La1 0.000 0.000 0.193
Pm1 0.000 0.000 0.420
Al1 0.000 0.000 0.000
```

Computed properties:
Offset from the most stable computed form = 0 meV per atom

=====

9.
Density functional theory data (PBE-GGA) for a relaxed La2PmAl crystal.

Geometry as CIF:
```
data_La2PmAl
_symmetry_space_group_name_H-M 'F m -3 m'
_symmetry_Int_Tables_number 225
_symmetry_space_group_name_Hall '-F 4 2 3'
_cell_length_a 7.887
_cell_length_b 7.887
_cell_length_c 7.887
_cell_angle_alpha 90.00
_cell_angle_beta 90.00
_cell_angle_gamma 90.00
loop_
_atom_site_label
_atom_site_fract_x
_atom_site_fract_y
_atom_site_fract_z
La1 0.250 0.250 0.250
Pm1 0.000 0.000 0.000
Al1 0.000 0.000 0.500
```

Computed properties:
Offset from the most stable computed form = 144 meV per atom

=====

10.
Density functional theory data (PBE-GGA) for a relaxed La3PmAl8 crystal.

Geometry as CIF:
```
data_La3PmAl8
_symmetry_space_group_name_H-M 'P 3 m 1'
_symmetry_Int_Tables_number 156
_cell_length_a 5.7249
_cell_length_b 5.7249
_cell_length_c 9.4213
_cell_angle_alpha 90.00
_cell_angle_beta 90.00
_cell_angle_gamma 120.00
loop_
_symmetry_equiv_pos_as_xyz
'x,y,z'
'-y,x-y,z'
'-x+y,-x,z'
'-y,-x,z'
'-x+y,y,z'
'x,x-y,z'
loop_
_atom_site_label
_atom_site_fract_x
_atom_site_fract_y
_atom_site_fract_z
La1 0.0000 0.0000 0.0000
La2 0.0000 0.0000 0.3616
La3 0.3333 0.6667 0.8643
Pm1 0.3333 0.6667 0.4993
Al1 0.0094 0.5047 0.1832
Al2 0.3243 0.1622 0.6781
Al3 0.6667 0.3333 0.4313
Al4 0.6667 0.3333 0.9287
```

Computed properties:
Offset from the most stable computed form = 18 meV per atom

=====

11.
Density functional theory data (PBE-GGA) for a relaxed La6PmAl2 crystal.

Geometry as CIF:
```
data_La6PmAl2
_symmetry_space_group_name_H-M 'P 42/m n m'
_symmetry_Int_Tables_number 136
_symmetry_space_group_name_Hall '-P 4n 2n'
_cell_length_a 8.080
_cell_length_b 8.080
_cell_length_c 10.924
_cell_angle_alpha 90.00
_cell_angle_beta 90.00
_cell_angle_gamma 90.00
loop_
_atom_site_label
_atom_site_fract_x
_atom_site_fract_y
_atom_site_fract_z
La1 0.193 0.193 0.000
La2 0.241 0.241 0.322
Pm1 0.000 0.000 0.500
Al1 0.000 0.000 0.202
```

Computed properties:
Offset from the most stable computed form = 411 meV per atom

=====

12.
Density functional theory data (PBE-GGA) for a relaxed La6PmAl2 crystal.

Geometry as CIF:
```
data_La6PmAl2
_symmetry_space_group_name_H-M 'C 1 2/m 1'
_symmetry_Int_Tables_number 12
_cell_length_a 13.326
_cell_length_b 3.860
_cell_length_c 11.931
_cell_angle_alpha 90.00
_cell_angle_beta 107.80
_cell_angle_gamma 90.00
loop_
_symmetry_equiv_pos_as_xyz
'x,y,z'
'-x,-y,-z'
'-x,y,-z'
'x,-y,z'
'x+1/2,y+1/2,z'
'-x+1/2,-y+1/2,-z'
'-x+1/2,y+1/2,-z'
'x+1/2,-y+1/2,z'
loop_
_atom_site_label
_atom_site_fract_x
_atom_site_fract_y
_atom_site_fract_z
La1 0.030 0.000 0.328
La2 0.180 0.500 0.877
La3 0.192 0.500 0.597
Pm1 0.000 0.000 0.000
Al1 0.152 0.500 0.191
```

Computed properties:
Offset from the most stable computed form = 0 meV per atom

=====

13.
Density functional theory data (PBE-GGA) for a relaxed La2Pm4Al crystal.

Geometry as CIF:
```
data_La2Pm4Al
_symmetry_space_group_name_H-M 'I -4 2 m'
_symmetry_Int_Tables_number 121
_symmetry_space_group_name_Hall 'I -4 2'
_cell_length_a 8.047
_cell_length_b 8.047
_cell_length_c 6.952
_cell_angle_alpha 90.00
_cell_angle_beta 90.00
_cell_angle_gamma 90.00
loop_
_atom_site_label
_atom_site_fract_x
_atom_site_fract_y
_atom_site_fract_z
La1 0.000 0.500 0.250
Pm1 0.203 0.203 0.395
Al1 0.000 0.000 0.000
```

Computed properties:
Offset from the most stable computed form = 179 meV per atom

=====

14.
Density functional theory data (PBE-GGA) for a relaxed La2Pm6Al crystal.

Geometry as CIF:
```
data_La2Pm6Al
_symmetry_space_group_name_H-M 'C 1 2/m 1'
_symmetry_Int_Tables_number 12
_cell_length_a 17.655
_cell_length_b 9.705
_cell_length_c 3.587
_cell_angle_alpha 90.00
_cell_angle_beta 94.27
_cell_angle_gamma 90.00
loop_
_symmetry_equiv_pos_as_xyz
'x,y,z'
'-x,-y,-z'
'-x,y,-z'
'x,-y,z'
'x+1/2,y+1/2,z'
'-x+1/2,-y+1/2,-z'
'-x+1/2,y+1/2,-z'
'x+1/2,-y+1/2,z'
loop_
_atom_site_label
_atom_site_fract_x
_atom_site_fract_y
_atom_site_fract_z
La1 0.170 0.000 0.444
Pm1 0.000 0.224 0.500
Pm2 0.163 0.332 0.980
Al1 0.000 0.500 0.000
```

=====

15.
Density functional theory data (PBE-GGA) for a relaxed LaPm4Al3 crystal.

Geometry as CIF:
```
data_LaPm4Al3
_symmetry_space_group_name_H-M 'P 4/m m m'
_symmetry_Int_Tables_number 123
_symmetry_space_group_name_Hall '-P 4 2'
_cell_length_a 4.942
_cell_length_b 4.942
_cell_length_c 9.056
_cell_angle_alpha 90.00
_cell_angle_beta 90.00
_cell_angle_gamma 90.00
loop_
_atom_site_label
_atom_site_fract_x
_atom_site_fract_y
_atom_site_fract_z
La1 0.000 0.000 0.000
Pm1 0.000 0.500 0.277
Al1 0.000 0.000 0.500
Al2 0.500 0.500 0.000
Al3 0.500 0.500 0.500
```

=====

16.
Density functional theory data (PBE-GGA) for a relaxed La5PmAl3 crystal.

Geometry as CIF:
```
data_La5PmAl3
_symmetry_space_group_name_H-M 'P 63/m c m'
_symmetry_Int_Tables_number 193
_symmetry_space_group_name_Hall '-P 6c 2'
_cell_length_a 9.4256
_cell_length_b 9.4256
_cell_length_c 7.0075
_cell_angle_alpha 90.00
_cell_angle_beta 90.00
_cell_angle_gamma 120.00
loop_
_atom_site_label
_atom_site_fract_x
_atom_site_fract_y
_atom_site_fract_z
La1 0.0000 0.3376 0.2500
La2 0.3333 0.6667 0.0000
Pm1 0.0000 0.0000 0.0000
Al1 0.0000 0.3266 0.7500
```

=====

17.
Density functional theory data (PBE-GGA) for a relaxed La3PmAl8 crystal.

Geometry as CIF:
```
data_La3PmAl8
_symmetry_space_group_name_H-M 'R 3 m'
_symmetry_Int_Tables_number 160
_symmetry_space_group_name_Hall 'R 3 -2"'
_cell_length_a 5.7280
_cell_length_b 5.7280
_cell_length_c 28.0750
_cell_angle_alpha 90.00
_cell_angle_beta 90.00
_cell_angle_gamma 120.00
loop_
_atom_site_label
_atom_site_fract_x
_atom_site_fract_y
_atom_site_fract_z
La1 0.0000 0.0000 0.0000
La2 0.0000 0.0000 0.1248
La3 0.0000 0.0000 0.4989
Pm1 0.0000 0.0000 0.6248
Al1 0.0000 0.0000 0.3119
Al2 0.0000 0.0000 0.8124
Al3 0.0008 0.5004 0.5630
Al4 0.1669 0.3338 0.3946
```

Computed properties:
Offset from the most stable computed form = 0 meV per atom

=====

18.
Density functional theory data (PBE-GGA) for a relaxed LaPmAl crystal.

Geometry as CIF:
```
data_LaPmAl
_symmetry_space_group_name_H-M 'C m c m'
_symmetry_Int_Tables_number 63
_symmetry_space_group_name_Hall '-C 2c 2'
_cell_length_a 5.439
_cell_length_b 10.643
_cell_length_c 5.917
_cell_angle_alpha 90.00
_cell_angle_beta 90.00
_cell_angle_gamma 90.00
loop_
_atom_site_label
_atom_site_fract_x
_atom_site_fract_y
_atom_site_fract_z
La1 0.000 0.229 0.250
Pm1 0.000 0.442 0.750
Al1 0.000 0.092 0.750
```

Computed properties:
Offset from the most stable computed form = 113 meV per atom

=====

19.
Density functional theory data (PBE-GGA) for a relaxed La6Pm12Al crystal.

Geometry as CIF:
```
data_La6Pm12Al
_symmetry_space_group_name_H-M 'R -3'
_symmetry_Int_Tables_number 148
_symmetry_space_group_name_Hall '-R 3'
_cell_length_a 12.2120
_cell_length_b 12.2120
_cell_length_c 15.1178
_cell_angle_alpha 90.00
_cell_angle_beta 90.00
_cell_angle_gamma 120.00
loop_
_atom_site_label
_atom_site_fract_x
_atom_site_fract_y
_atom_site_fract_z
La1 0.0225 0.5972 0.1884
Pm1 0.0182 0.8423 0.3153
Pm2 0.0547 0.2000 0.9157
Al1 0.0000 0.0000 0.5000
```

=====

20.
Density functional theory data (PBE-GGA) for a relaxed LaPmAl2 crystal.

Geometry as CIF:
```
data_LaPmAl2
_symmetry_space_group_name_H-M 'P 4/m m m'
_symmetry_Int_Tables_number 123
_symmetry_space_group_name_Hall '-P 4 2'
_cell_length_a 3.752
_cell_length_b 3.752
_cell_length_c 7.499
_cell_angle_alpha 90.00
_cell_angle_beta 90.00
_cell_angle_gamma 90.00
loop_
_atom_site_label
_atom_site_fract_x
_atom_site_fract_y
_atom_site_fract_z
La1 0.000 0.000 0.000
Pm1 0.000 0.000 0.500
Al1 0.500 0.500 0.263
```

=====

no.,calculated volume (Å³/f.u.),ρ (g/cm³),formation energy (eV per atom)
1,131.8,5.67,-0.02
2,251.6,5.34,-0.17
3,89.4,5.77,-0.20
4,213.7,4.54,-0.47
5,206.9,5.47,-0.36
6,307.9,5.53,-0.36
7,100.4,5.14,-0.05
8,159.3,6.20,-0.13
9,122.7,6.09,-0.05
10,267.4,4.83,-0.48
11,356.6,4.81,0.26
12,292.2,5.87,-0.15
13,225.1,6.53,0.27
14,306.4,6.37,0.08
15,221.2,6.00,-0.25
16,269.6,5.67,-0.23
17,265.9,4.86,-0.50
18,85.6,6.03,-0.09
19,650.8,6.63,0.07
20,105.6,5.31,-0.37